# Ac4Cd2B

A geometry-optimized Ac4Cd2B structure (PBE, Alexandria).

The space group is I4/mmm (No. 139) and the conventional cell measures 5.484, 5.484 and 16.649 Å, with angles of 90.00, 90.00 and 90.00 degrees. The inequivalent atoms are Ac at (0.000, 0.000, 0.175), Ac at (0.000, 0.500, 0.000), Cd at (0.000, 0.000, 0.372) and B at (0.000, 0.000, 0.000).

Its density of states at the Fermi level is 8.63 states/eV/f.u. Its crystal system is tetragonal. Its calculated formation energy is 0.012 eV per atom. The calculation puts the total DFT energy (no corrections) at -3.5514 eV per atom.

=====

# CeEuCdIr

A geometry-optimized CeEuCdIr structure (PBE, Alexandria).

The space group is F-43m (No. 216) and the conventional cell measures 7.296, 7.296 and 7.296 Å, with angles of 90.00, 90.00 and 90.00 degrees. The inequivalent atoms are Ce at (0.000, 0.000, 0.000), Eu at (0.000, 0.000, 0.500), Cd at (0.250, 0.250, 0.250) and Ir at (0.250, 0.250, 0.750).

Its density of states at the Fermi level is 8.33 states/eV/f.u. Its crystal system is cubic. Its calculated formation energy is -0.300 eV per atom. The calculation puts the total DFT energy (no corrections) at -6.7959 eV per atom.

=====

# NaScSb2

A geometry-optimized NaScSb2 structure (PBE, Alexandria).

The space group is R-3m (No. 166, hexagonal axes) and the conventional cell measures 4.5575, 4.5575 and 19.2045 Å, with angles of 90.00, 90.00 and 120.00 degrees. The inequivalent atoms are Na at (0.0000, 0.0000, 0.0000), Sc at (0.0000, 0.0000, 0.5000) and Sb at (0.0000, 0.0000, 0.2349).

The uncorrected formation energy is -408.8 meV per atom. Its relative energy among the computed polymorphs is 0.0854 eV per atom. Its density of states at the Fermi level is 3.11 states/eV/f.u. Its crystal system is trigonal. The calculation puts the total DFT energy (no corrections) at -4.3827 eV per atom.